Entry 1:
Density functional theory data (PBE-GGA) for a geometry-optimized ZrTl2Pb structure.

abc: 4.0871 4.0871 6.3619
angles: 90.00 90.00 90.00
Closest atoms and distances in Å follow each position.
Fractional coordinates of all 4 atoms:
Zr1 0.0000 0.0000 0.5170  6 Tl 3.13-3.34, 4 Pb 3.17
Pb1 0.5000 0.5000 0.7210  1 Tl 2.98, 4 Zr 3.17
Tl1 0.0000 0.0000 0.0095  2 Zr 3.13-3.23, 4 Tl 3.28, 4 Pb 3.42
Tl2 0.5000 0.5000 0.2525  1 Pb 2.98, 4 Tl 3.28

The density of states at the Fermi level is 3.81 states/eV/f.u. For the total energy, the calculation gives -16.6 eV for the cell shown. Its total magnetic moment is 0.00 μB/cell. For the excess energy over the best structure of this formula in the dataset, the calculation gives 68 meV per atom.

---

Entry 2:
Density functional theory data (PBE-GGA) for a geometry-optimized La4TcN5 structure.

abc: 5.4212 6.1962 6.1962
angles: 78.97 64.06 64.06
Closest atoms and distances in Å follow each position.
Fractional coordinates of all 10 atoms:
Tc1 0.0659 0.0000 0.0000  1 N 1.88
N1 0.1089 0.6364 0.1798  1 Tc 2.28, 2 La 2.43-2.46
N2 0.9251 0.3636 0.8202  1 Tc 2.28, 2 La 2.43-2.46
N3 0.7453 0.1798 0.3636  1 Tc 2.28, 2 La 2.43-2.46
N4 0.2887 0.8202 0.6364  1 Tc 2.28, 2 La 2.43-2.46
N5 0.4127 0.0000 0.0000  1 Tc 1.88
La1 0.7947 0.8061 0.5864  4 N 2.43-2.59
La2 0.6008 0.5864 0.1939  4 N 2.43-2.59
La3 0.1872 0.1939 0.4136  4 N 2.43-2.59
La4 0.3811 0.4136 0.8061  4 N 2.43-2.59

The density of states at the Fermi level is 7.49 states/eV/f.u. For the total energy, the calculation gives -81.0 eV for the cell shown. The uncorrected formation energy comes out at -0.93 eV/atom. Its total magnetic moment is 1.05 μB/cell.

---

Entry 3:
Density functional theory data (PBE-GGA) for a geometry-optimized BaMn3 structure.

abc: 7.3915 7.3915 4.4203
angles: 90.00 90.00 120.00
Closest atoms and distances in Å follow each position.
Fractional coordinates of all 8 atoms:
Ba1 0.3333 0.6667 0.2500  12 Mn 3.51-3.74
Ba2 0.6667 0.3333 0.7500  12 Mn 3.51-3.74
Mn1 0.1205 0.2409 0.7500  6 Mn 2.67-2.69
Mn2 0.2409 0.1205 0.2500  6 Mn 2.67-2.69
Mn3 0.7591 0.8795 0.7500  6 Mn 2.67-2.69
Mn4 0.8795 0.7591 0.2500  6 Mn 2.67-2.69
Mn5 0.8795 0.1205 0.2500  6 Mn 2.67-2.69
Mn6 0.1205 0.8795 0.7500  6 Mn 2.67-2.69

The density of states at the Fermi level is 4.04 states/eV/f.u. For the total energy, the calculation gives -53.1 eV for the cell shown. Its total magnetic moment is 22.67 μB/cell. For the excess energy over the best structure of this formula in the dataset, the calculation gives 129 meV per atom.

---

Entry 4:
Density functional theory data (PBE-GGA) for a geometry-optimized CeYInRu structure.

abc: 3.3784 3.3784 8.3825
angles: 90.00 90.00 90.00
Closest atoms and distances in Å follow each position.
Fractional coordinates of all 4 atoms:
In1 0.0000 0.0000 0.0754  4 In 3.38, 4 Y 3.39, 4 Ce 3.47
Y1 0.5000 0.5000 0.3626  4 Ru 2.96
Ce1 0.5000 0.5000 0.7753  4 Ru 2.94
Ru1 0.0000 0.0000 0.5714  4 Ce 2.94, 4 Y 2.96

The density of states at the Fermi level is 3.83 states/eV/f.u. For the total energy, the calculation gives -26.1 eV for the cell shown. Its total magnetic moment is 0.47 μB/cell. For the excess energy over the best structure of this formula in the dataset, the calculation gives 0 meV per atom.

---

Entry 5:
Density functional theory data (PBE-GGA) for a geometry-optimized BaAc4Ru2 structure.

abc: 4.3327 6.6039 10.5832
angles: 99.32 101.81 90.00
Closest atoms and distances in Å follow each position.
Fractional coordinates of all 7 atoms:
Ac1 0.3521 0.9486 0.7043  3 Ru 2.88-2.97
Ac2 0.8165 0.4139 0.6330  3 Ru 3.01-3.15
Ac3 0.1835 0.5861 0.3670  3 Ru 3.01-3.15
Ac4 0.6479 0.0514 0.2957  3 Ru 2.88-2.97
Ru1 0.7617 0.8317 0.5235  6 Ac 2.88-3.15, 2 Ru 3.20
Ru2 0.2383 0.1683 0.4765  6 Ac 2.88-3.15, 2 Ru 3.20
Ba1 0.5000 0.5000 0.0000  8 Ac 4.33-4.60, 2 Ba 4.33

The density of states at the Fermi level is 6.84 states/eV/f.u. For the total energy, the calculation gives -37.4 eV for the cell shown. Its total magnetic moment is 0.00 μB/cell.

---

Entry 6:
Density functional theory data (PBE-GGA) for a geometry-optimized HfZrTaCd structure.

abc: 4.8892 4.8892 4.8892
angles: 60.00 60.00 60.00
Closest atoms and distances in Å follow each position.
Fractional coordinates of all 4 atoms:
Hf1 0.5000 0.5000 0.5000  4 Cd 2.99, 4 Ta 2.99
Cd1 0.2500 0.2500 0.2500  4 Hf 2.99, 4 Zr 2.99
Zr1 0.0000 0.0000 0.0000  4 Cd 2.99, 4 Ta 2.99
Ta1 0.7500 0.7500 0.7500  4 Zr 2.99, 4 Hf 2.99

The density of states at the Fermi level is 3.86 states/eV/f.u. For the total energy, the calculation gives -30.8 eV for the cell shown. Its total magnetic moment is 0.00 μB/cell.

---

Entry 7:
Density functional theory data (PBE-GGA) for a geometry-optimized UTl3I2F6 structure.

abc: 5.4456 8.1459 9.6394
angles: 114.99 94.25 90.00
Closest atoms and distances in Å follow each position.
Fractional coordinates of all 12 atoms:
I1 0.0106 0.3035 0.6070  5 Tl 3.44-3.54
I2 0.9894 0.6965 0.3930  5 Tl 3.44-3.54
F1 0.5713 0.8829 0.7658  1 U 2.11
F2 0.2451 0.1629 0.9511  1 U 2.08
F3 0.2451 0.7882 0.9511  1 U 2.08
F4 0.4287 0.1171 0.2342  1 U 2.11
F5 0.7549 0.2118 0.0489  1 U 2.08
F6 0.7549 0.8371 0.0489  1 U 2.08
Tl1 0.5000 0.0000 0.5000  2 F 3.09
Tl2 0.5000 0.5000 0.5000  2 F 3.09
Tl3 0.0000 0.5000 0.0000  4 F 2.92
U1 0.5000 0.0000 0.0000  6 F 2.08-2.11

For the total energy, the calculation gives -60.5 eV for the cell shown. The uncorrected formation energy comes out at -2.31 eV/atom. Its total magnetic moment is 1.01 μB/cell.

---

Entry 8:
Density functional theory data (PBE-GGA) for a geometry-optimized CdBi2RuO8 structure.

abc: 4.9536 4.9366 6.9796
angles: 90.00 90.00 90.24
Closest atoms and distances in Å follow each position.
Fractional coordinates of all 12 atoms:
O1 0.1785 0.8112 0.7893  1 Ru 1.95
O2 0.7210 0.7329 0.0000  1 Ru 1.91
O3 0.1783 0.8111 0.2107  1 Ru 1.95
O4 0.3147 0.3064 0.5000  1 Cd 2.17, 2 Bi 2.19
O5 0.8215 0.1888 0.2107  1 Ru 1.95
O6 0.2790 0.2671 0.0000  1 Ru 1.91
O7 0.8217 0.1889 0.7893  1 Ru 1.95
O8 0.6853 0.6936 0.5000  1 Cd 2.17, 2 Bi 2.19
Bi1 0.5000 0.5000 0.2491  6 O 2.19-2.35
Bi2 0.5000 0.5000 0.7509  6 O 2.19-2.35
Ru1 0.0000 0.0000 0.0000  6 O 1.91-1.95
Cd1 0.0000 0.0000 0.5000  6 O 2.17-2.39

The density of states at the Fermi level is 4.41 states/eV/f.u. For the total energy, the calculation gives -68.3 eV for the cell shown. The uncorrected formation energy comes out at -0.89 eV/atom. Its total magnetic moment is 0.00 μB/cell.

---

Entry 9:
Density functional theory data (PBE-GGA) for a geometry-optimized MoAs structure.

abc: 3.1191 4.4243 4.4249
angles: 90.00 90.00 90.00
Closest atoms and distances in Å follow each position.
Fractional coordinates of all 4 atoms:
Mo1 0.5000 0.0000 0.4165  8 As 2.71
Mo2 0.5000 0.5000 0.9169  8 As 2.71
As1 0.0000 0.0000 0.9166  8 Mo 2.71
As2 0.0000 0.5000 0.4168  8 Mo 2.71

The density of states at the Fermi level is 2.21 states/eV/f.u. For the total energy, the calculation gives -31.1 eV for the cell shown. Its total magnetic moment is 0.00 μB/cell.

---

Entry 10:
Density functional theory data (PBE-GGA) for a geometry-optimized CaMnBe structure.

abc: 4.4669 4.4669 4.4669
angles: 60.00 60.00 60.00
Closest atoms and distances in Å follow each position.
Fractional coordinates of all 3 atoms:
Ca1 0.0000 0.0000 0.0000  4 Be 2.74
Be1 0.7500 0.7500 0.7500  4 Mn 2.74, 4 Ca 2.74
Mn1 0.5000 0.5000 0.5000  4 Be 2.74

The density of states at the Fermi level is 2.08 states/eV/f.u. For the total energy, the calculation gives -12.9 eV for the cell shown. Its total magnetic moment is 3.17 μB/cell. For the excess energy over the best structure of this formula in the dataset, the calculation gives 304 meV per atom.

---

Entry 11:
Density functional theory data (PBE-GGA) for a geometry-optimized BaLi3Cd2 structure.

abc: 5.9552 7.3379 7.3379
angles: 99.06 90.00 90.00
Closest atoms and distances in Å follow each position.
Fractional coordinates of all 12 atoms:
Li1 0.2500 0.5462 0.9230  4 Cd 2.88-2.95, 1 Li 2.95
Li2 0.7500 0.0486 0.0486  4 Cd 2.90, 4 Li 2.95-3.12
Li3 0.7500 0.4538 0.0770  4 Cd 2.88-2.95, 1 Li 2.95
Li4 0.7500 0.0770 0.4538  4 Cd 2.88-2.95, 1 Li 2.95
Li5 0.2500 0.9514 0.9514  4 Cd 2.90, 4 Li 2.95-3.12
Li6 0.2500 0.9230 0.5462  4 Cd 2.88-2.95, 1 Li 2.95
Ba1 0.7500 0.6736 0.6736  9 Li 3.57-3.98, 4 Cd 3.85
Ba2 0.2500 0.3264 0.3264  9 Li 3.57-3.98, 4 Cd 3.85
Cd1 0.5000 0.2190 0.7810  6 Li 2.88-2.95, 2 Cd 2.98
Cd2 0.5000 0.7810 0.2190  6 Li 2.88-2.95, 2 Cd 2.98
Cd3 0.0000 0.2190 0.7810  6 Li 2.88-2.95, 2 Cd 2.98
Cd4 0.0000 0.7810 0.2190  6 Li 2.88-2.95, 2 Cd 2.98

The density of states at the Fermi level is 4.29 states/eV/f.u. For the total energy, the calculation gives -21.2 eV for the cell shown. Its total magnetic moment is 0.00 μB/cell. For the excess energy over the best structure of this formula in the dataset, the calculation gives 0 meV per atom.

---

Entry 12:
Density functional theory data (PBE-GGA) for a geometry-optimized Cr5Ir structure.

abc: 2.9123 4.1894 6.5223
angles: 108.73 90.00 90.00
Closest atoms and distances in Å follow each position.
Fractional coordinates of all 6 atoms:
Cr1 0.0000 0.6646 0.3292  8 Cr 2.45-2.55
Cr2 0.0000 0.3354 0.6708  8 Cr 2.45-2.55
Cr3 0.5000 0.5000 0.0000  4 Cr 2.50, 4 Ir 2.55
Cr4 0.5000 0.8244 0.6489  6 Cr 2.45-2.55, 2 Ir 2.61
Cr5 0.5000 0.1756 0.3511  6 Cr 2.45-2.55, 2 Ir 2.61
Ir1 0.0000 0.0000 0.0000  8 Cr 2.55-2.61

The density of states at the Fermi level is 4.77 states/eV/f.u. For the total energy, the calculation gives -57.0 eV for the cell shown. Its total magnetic moment is 2.43 μB/cell. For the excess energy over the best structure of this formula in the dataset, the calculation gives 9 meV per atom.

---

Q: total magnetic moment of number 3 (BaMn3)?
A: 22.67 μB/cell

---

What did the sixth record say?
Density functional theory data (PBE-GGA) for a geometry-optimized HfZrTaCd structure.

abc: 4.8892 4.8892 4.8892
angles: 60.00 60.00 60.00
Closest atoms and distances in Å follow each position.
Fractional coordinates of all 4 atoms:
Hf1 0.5000 0.5000 0.5000  4 Cd 2.99, 4 Ta 2.99
Cd1 0.2500 0.2500 0.2500  4 Hf 2.99, 4 Zr 2.99
Zr1 0.0000 0.0000 0.0000  4 Cd 2.99, 4 Ta 2.99
Ta1 0.7500 0.7500 0.7500  4 Zr 2.99, 4 Hf 2.99

The density of states at the Fermi level is 3.86 states/eV/f.u. For the total energy, the calculation gives -30.8 eV for the cell shown. Its total magnetic moment is 0.00 μB/cell.

---

Q: Number 4 is which compound?
A: CeYInRu